# 1
DFT (GGA-PBE) results for a geometry-optimized BiPb4Au3 structure.

Unit cell a=4.220 b=4.260 c=12.096 alpha=90.00 beta=90.00 gamma=90.00
Fractional positions:
Bi 0.000 0.000 0.000
Pb 0.000 0.000 0.299
Pb 0.000 0.500 0.572
Pb 0.500 0.000 0.764
Pb 0.500 0.500 0.108
Au 0.000 0.500 0.821
Au 0.500 0.000 0.515
Au 0.500 0.500 0.352

Calculated values
N(E_F), states/eV/f.u.: 3.2
Crystal system: orthorhombic
Symmetry: Pmm2 (25)
E_form, eV/atom: -0.056

# 2
DFT (GGA-PBE) results for a geometry-optimized Bi3Pb6Au structure.

Unit cell a=6.909 b=10.050 c=10.761 alpha=90.00 beta=120.11 gamma=90.00
Fractional positions:
Bi 0.000 0.000 0.000
Bi 0.000 0.500 0.500
Bi 0.227 0.100 0.805
Bi 0.227 0.400 0.305
Bi 0.773 0.600 0.695
Bi 0.773 0.900 0.195
Pb 0.097 0.141 0.449
Pb 0.097 0.359 0.949
Pb 0.247 0.743 0.416
Pb 0.247 0.757 0.916
Pb 0.464 0.126 0.242
Pb 0.464 0.374 0.742
Pb 0.536 0.626 0.258
Pb 0.536 0.874 0.758
Pb 0.753 0.243 0.084
Pb 0.753 0.257 0.584
Pb 0.903 0.641 0.051
Pb 0.903 0.859 0.551
Au 0.500 0.000 0.500
Au 0.500 0.500 0.000

Calculated values
N(E_F), states/eV/f.u.: 3.9
Crystal system: monoclinic
Symmetry: P2_1/c (14)
E_form, eV/atom: 0.040
Energy above the lowest structure with this stoichiometry, eV per atom: 0.031

# 3
DFT (GGA-PBE) results for a geometry-optimized BiPb4Au2 structure.

Unit cell a=6.152 b=6.152 c=15.775 alpha=90.00 beta=90.00 gamma=135.79
Fractional positions:
Bi 0.095 0.905 0.750
Bi 0.905 0.095 0.250
Pb 0.000 0.000 0.000
Pb 0.000 0.000 0.500
Pb 0.293 0.707 0.112
Pb 0.293 0.707 0.388
Pb 0.395 0.605 0.750
Pb 0.605 0.395 0.250
Pb 0.707 0.293 0.612
Pb 0.707 0.293 0.888
Au 0.366 0.634 0.567
Au 0.366 0.634 0.933
Au 0.634 0.366 0.067
Au 0.634 0.366 0.433

Calculated values
N(E_F), states/eV/f.u.: 4.0
Crystal system: orthorhombic
Symmetry: Cmcm (63)
E_form, eV/atom: 0.019
Energy above the lowest structure with this stoichiometry, eV per atom: 0.044

# 4
DFT (GGA-PBE) results for a geometry-optimized Bi2Pb6Au structure.

Unit cell a=7.699 b=6.818 c=13.212 alpha=90.00 beta=123.98 gamma=90.00
Fractional positions:
Bi 0.227 0.107 0.240
Bi 0.227 0.393 0.740
Bi 0.773 0.607 0.260
Bi 0.773 0.893 0.760
Pb 0.181 0.168 0.952
Pb 0.181 0.332 0.452
Pb 0.315 0.680 0.969
Pb 0.315 0.820 0.469
Pb 0.344 0.581 0.254
Pb 0.344 0.919 0.754
Pb 0.656 0.081 0.246
Pb 0.656 0.419 0.746
Pb 0.685 0.180 0.531
Pb 0.685 0.320 0.031
Pb 0.819 0.668 0.548
Pb 0.819 0.832 0.048
Au 0.000 0.000 0.500
Au 0.000 0.500 0.000

Calculated values
N(E_F), states/eV/f.u.: 3.7
Crystal system: monoclinic
Symmetry: P2_1/c (14)
E_form, eV/atom: 0.014
Energy above the lowest structure with this stoichiometry, eV per atom: 0.023

# 5
DFT (GGA-PBE) results for a geometry-optimized Bi2Pb12Au7 structure.

Unit cell a=11.100 b=4.468 c=12.435 alpha=90.00 beta=106.21 gamma=90.00
Fractional positions:
Bi 0.000 0.000 0.000
Bi 0.210 0.500 0.603
Pb 0.004 0.000 0.432
Pb 0.138 0.500 0.301
Pb 0.262 0.000 0.881
Pb 0.301 0.000 0.193
Pb 0.471 0.500 0.427
Pb 0.478 0.000 0.683
Pb 0.485 0.500 0.091
Pb 0.700 0.500 0.898
Pb 0.750 0.000 0.140
Pb 0.762 0.000 0.563
Pb 0.764 0.500 0.351
Pb 0.959 0.500 0.782
Au 0.053 0.000 0.672
Au 0.195 0.500 0.015
Au 0.289 0.000 0.453
Au 0.537 0.000 0.934
Au 0.575 0.000 0.301
Au 0.651 0.500 0.655
Au 0.909 0.500 0.117

Calculated values
N(E_F), states/eV/f.u.: 8.1
Crystal system: monoclinic
Symmetry: Pm (6)
E_form, eV/atom: -0.042

# 6
DFT (GGA-PBE) results for a geometry-optimized BiPb3Au3 structure.

Unit cell a=7.883 b=7.883 c=7.883 alpha=90.00 beta=90.00 gamma=90.00
Fractional positions:
Bi 0.000 0.000 0.000
Bi 0.500 0.500 0.500
Pb 0.000 0.250 0.500
Pb 0.000 0.750 0.500
Pb 0.250 0.500 0.000
Pb 0.500 0.000 0.250
Pb 0.500 0.000 0.750
Pb 0.750 0.500 0.000
Au 0.000 0.500 0.250
Au 0.000 0.500 0.750
Au 0.250 0.000 0.500
Au 0.500 0.250 0.000
Au 0.500 0.750 0.000
Au 0.750 0.000 0.500

Calculated values
N(E_F), states/eV/f.u.: 2.7
Crystal system: cubic
Symmetry: Pm-3n (223)
E_form, eV/atom: 0.359
Energy above the lowest structure with this stoichiometry, eV per atom: 0.396